--- A ---
Density functional theory data (GGA-PBE) for GeIr2F after structural relaxation.

Computed properties:
ρ ... 11.830 g/cm³
Space group ... I-42d
Spin magnetization ... 0.0 μB/cell

a = 7.9253 Å, b = 7.9253 Å, c = 4.2556 Å
α = 90.00°, β = 90.00°, γ = 90.00°
With the nearest neighbours (Å) after each atom.
Positions (direct):
Ge  0.0000  0.0000  0.0000  2 F 2.13
Ge  0.0000  0.5000  0.2500  2 F 2.13
Ge  0.5000  0.0000  0.7500  2 F 2.13
Ge  0.5000  0.5000  0.5000  2 F 2.13
Ir  0.1763  0.2500  0.1250  2 Ir 2.43, 2 Ge 2.48
Ir  0.2500  0.6763  0.3750  2 Ir 2.43, 2 Ge 2.48
Ir  0.2500  0.8237  0.8750  2 Ir 2.43, 2 Ge 2.48
Ir  0.3237  0.2500  0.6250  2 Ir 2.43, 2 Ge 2.48
Ir  0.6763  0.7500  0.6250  2 Ir 2.43, 2 Ge 2.48
Ir  0.7500  0.1763  0.8750  2 Ir 2.43, 2 Ge 2.48
Ir  0.7500  0.3237  0.3750  2 Ir 2.43, 2 Ge 2.48
Ir  0.8237  0.7500  0.1250  2 Ir 2.43, 2 Ge 2.48
F  0.0000  0.0000  0.5000  2 Ge 2.13
F  0.0000  0.5000  0.7500  2 Ge 2.13
F  0.5000  0.0000  0.2500  2 Ge 2.13
F  0.5000  0.5000  0.0000  2 Ge 2.13


--- B ---
Density functional theory data (GGA-PBE) for GeIr2F after structural relaxation.

Computed properties:
ρ ... 14.840 g/cm³
Space group ... Fm-3m
Spin magnetization ... 0.0 μB/cell

a = 5.9729 Å, b = 5.9729 Å, c = 5.9729 Å
α = 90.00°, β = 90.00°, γ = 90.00°
With the nearest neighbours (Å) after each atom.
Positions (direct):
Ge  0.0000  0.0000  0.0000  8 Ir 2.59
Ge  0.0000  0.5000  0.5000  8 Ir 2.59
Ge  0.5000  0.0000  0.5000  8 Ir 2.59
Ge  0.5000  0.5000  0.0000  8 Ir 2.59
Ir  0.2500  0.2500  0.2500  4 Ge 2.59, 4 F 2.59
Ir  0.2500  0.2500  0.7500  4 Ge 2.59, 4 F 2.59
Ir  0.2500  0.7500  0.2500  4 Ge 2.59, 4 F 2.59
Ir  0.2500  0.7500  0.7500  4 F 2.59, 4 Ge 2.59
Ir  0.7500  0.2500  0.2500  4 Ge 2.59, 4 F 2.59
Ir  0.7500  0.2500  0.7500  4 F 2.59, 4 Ge 2.59
Ir  0.7500  0.7500  0.2500  4 F 2.59, 4 Ge 2.59
Ir  0.7500  0.7500  0.7500  4 Ge 2.59, 4 F 2.59
F  0.0000  0.0000  0.5000  8 Ir 2.59
F  0.0000  0.5000  0.0000  8 Ir 2.59
F  0.5000  0.0000  0.0000  8 Ir 2.59
F  0.5000  0.5000  0.5000  8 Ir 2.59


Of the structures shown above, B is the least stable.